{
  "formula": "SiTeMo2",
  "functional": "SCAN",
  "state": "single point on PBEsol structure",
  "lattice": [[4.457, 0.000, 0.000], [0.000, 4.457, 0.000], [0.000, 0.000, 3.182]],
  "species": ["Si", "Te", "Mo", "Mo"],
  "frac_coords": [[0.000, 0.000, 0.000], [0.500, 0.500, 0.000], [0.000, 0.500, 0.500], [0.500, 0.000, 0.500]],
  "raw_formation_energy_ev_per_atom": 0.239,
  "de_polymorph_mev_per_atom": 0.0
}


{
  "formula": "SiTe3Mo",
  "functional": "SCAN",
  "state": "single point on PBEsol structure",
  "lattice": [[5.123, 0.000, 0.000], [0.000, 5.123, 0.000], [0.000, 0.000, 5.123]],
  "species": ["Si", "Te", "Te", "Te", "Mo"],
  "frac_coords": [[0.000, 0.000, 0.000], [0.000, 0.000, 0.500], [0.000, 0.500, 0.000], [0.500, 0.000, 0.000], [0.500, 0.500, 0.500]],
  "raw_formation_energy_ev_per_atom": 1.009
}


{
  "formula": "SiTe2Mo",
  "functional": "SCAN",
  "state": "single point on PBEsol structure",
  "lattice": [[1.780, 1.028, 8.528], [-1.780, 1.028, 8.528], [0.000, -2.056, 8.528]],
  "species": ["Si", "Te", "Te", "Mo"],
  "frac_coords": [[0.000, 0.000, 0.000], [0.400, 0.400, 0.400], [0.600, 0.600, 0.600], [0.500, 0.500, 0.500]],
  "raw_formation_energy_ev_per_atom": 0.983
}


{
  "formula": "Si2TeMo",
  "functional": "SCAN",
  "state": "single point on PBEsol structure",
  "lattice": [[2.738, -4.473, 0.000], [2.738, 4.473, 0.000], [-1.946, 0.000, 2.850]],
  "species": ["Si", "Si", "Te", "Mo"],
  "frac_coords": [[0.000, 0.500, 0.000], [0.500, 0.000, 0.000], [0.000, 0.000, 0.500], [0.500, 0.500, 0.500]],
  "raw_formation_energy_ev_per_atom": 0.697
}


{
  "formula": "Si2TeMo",
  "functional": "SCAN",
  "state": "single point on PBEsol structure",
  "lattice": [[1.730, 0.999, 7.125], [-1.730, 0.999, 7.125], [0.000, -1.998, 7.125]],
  "species": ["Si", "Si", "Te", "Mo"],
  "frac_coords": [[0.000, 0.000, 0.000], [0.274, 0.274, 0.274], [0.496, 0.496, 0.496], [0.744, 0.744, 0.744]],
  "raw_formation_energy_ev_per_atom": 0.381
}


{
  "formula": "Si2TeMo",
  "functional": "SCAN",
  "state": "single point on PBEsol structure",
  "lattice": [[1.569, 0.906, 8.393], [-1.569, 0.906, 8.393], [0.000, -1.811, 8.393]],
  "species": ["Si", "Si", "Te", "Mo"],
  "frac_coords": [[0.236, 0.236, 0.236], [0.764, 0.764, 0.764], [0.000, 0.000, 0.000], [0.500, 0.500, 0.500]],
  "raw_formation_energy_ev_per_atom": 0.377
}


{
  "formula": "TiSi2Mo2",
  "functional": "SCAN",
  "state": "single point on PBEsol structure",
  "lattice": [[6.604, 0.000, 0.000], [0.000, 6.604, 0.000], [0.000, 0.000, 3.260]],
  "species": ["Ti", "Ti", "Si", "Si", "Si", "Si", "Mo", "Mo", "Mo", "Mo"],
  "frac_coords": [[0.000, 0.000, 0.000], [0.500, 0.500, 0.000], [0.133, 0.367, 0.000], [0.367, 0.867, 0.000], [0.633, 0.133, 0.000], [0.867, 0.633, 0.000], [0.162, 0.662, 0.500], [0.338, 0.162, 0.500], [0.662, 0.838, 0.500], [0.838, 0.338, 0.500]],
  "raw_formation_energy_ev_per_atom": -0.479
}


{
  "formula": "Ti2Si6Mo",
  "functional": "SCAN",
  "state": "single point on PBEsol structure",
  "lattice": [[2.329, -4.044, 0.000], [2.329, 4.044, 0.000], [0.000, 0.000, 6.476]],
  "species": ["Ti", "Ti", "Si", "Si", "Si", "Si", "Si", "Si", "Mo"],
  "frac_coords": [[0.000, 0.500, 0.166], [0.500, 0.000, 0.834], [0.182, 0.342, 0.833], [0.334, 0.666, 0.500], [0.342, 0.182, 0.167], [0.658, 0.818, 0.167], [0.666, 0.334, 0.500], [0.818, 0.658, 0.833], [0.000, 0.000, 0.500]],
  "raw_formation_energy_ev_per_atom": -0.499
}